Ga3Sn | meta-GGA SCAN | single point on PBEsol structure

Cell: 4.8611 4.8611 4.8611 Å, 60.00 60.00 60.00°
Positions (direct):
Sn 0.0000 0.0000 0.0000
Ga 0.2500 0.2500 0.2500
Ga 0.7500 0.7500 0.7500
Ga 0.5000 0.5000 0.5000

Energy = -21.038 eV/atom
Crystal system = cubic